No. 1
La2BeAlC | PBE | relaxed

abc: 5.5018 5.5018 3.4656
angles: 90.00 90.00 90.00
Fractional positions:
Be  0.0000  0.0000  0.5000
C  0.0000  0.0000  0.0000
Al  0.5000  0.5000  0.5000
La  0.0000  0.5000  0.0000
La  0.5000  0.0000  0.0000

## Properties
Total DFT energy (no corrections) ... -0.20054 Ha/atom
DFT formation energy ... -0.15 eV/atom


No. 2
Li2BeAlC | PBE | relaxed

abc: 4.6293 3.2018 4.6293
angles: 90.00 90.00 90.00
Fractional positions:
Be  0.0000  0.0000  0.0000
C  0.0000  0.5000  0.0000
Al  0.5000  0.5000  0.5000
Li  0.0000  0.0000  0.5000
Li  0.5000  0.0000  0.0000

## Properties
Total DFT energy (no corrections) ... -0.13287 Ha/atom
DFT formation energy ... 0.49 eV/atom


No. 3
LiBe2AlC | PBE | relaxed

abc: 3.4954 4.5527 3.4954
angles: 90.00 90.00 90.00
Fractional positions:
Be  0.0000  0.0000  0.5000
Be  0.5000  0.0000  0.0000
C  0.0000  0.0000  0.0000
Al  0.5000  0.5000  0.5000
Li  0.0000  0.5000  0.0000

## Properties
Total DFT energy (no corrections) ... -0.15218 Ha/atom
DFT formation energy ... 0.33 eV/atom


No. 4
MgBe2AlC | PBE | relaxed

abc: 4.2375 4.2375 5.2448
angles: 90.00 90.00 90.00
Site moments in Bohr magnetons follow the coordinates.
Fractional positions:
C  0.5000  0.5000  0.5000  0.71
Be  0.0000  0.5000  0.0000  0.01
Be  0.5000  0.0000  0.0000  0.01
Mg  0.0000  0.0000  0.5000  0.00
Al  0.0000  0.0000  0.0000  0.03

## Properties
Total DFT energy (no corrections) ... -0.09033 Ha/atom
DFT formation energy ... 1.94 eV/atom